*A*
This record from Alexandria describes crystalline La2TlCdNi at its relaxed geometry. The functional is PBE-GGA.

Lattice parameters (Å, degrees): 5.3455 5.3455 5.0273 90.00 90.00 90.00
Fractional positions:
Ni (0.0000, 0.0000, 0.0000)
Tl (0.5000, 0.5000, 0.5000)
La (0.5000, 0.0000, 0.0000)
Cd (0.0000, 0.0000, 0.5000)
La (0.0000, 0.5000, 0.0000)



*B*
This record from Alexandria describes crystalline La2TlCdNi at its relaxed geometry. The functional is PBE-GGA.

Lattice parameters (Å, degrees): 5.4069 5.4069 5.0029 90.00 90.00 90.00
Fractional positions:
Tl (0.0000, 0.0000, 0.5000)
Ni (0.0000, 0.0000, 0.0000)
Cd (0.5000, 0.5000, 0.5000)
La (0.5000, 0.0000, 0.0000)
La (0.0000, 0.5000, 0.0000)



Which of them is the most stable? Correct choice: *A*.



*A*
This record from Alexandria describes crystalline La2CdO at its relaxed geometry. The functional is PBE-GGA.

Lattice parameters (Å, degrees): 5.1808 5.1808 5.1808 60.00 60.00 60.00
Fractional positions:
Cd (0.5000, 0.5000, 0.5000)
La (0.7500, 0.7500, 0.7500)
O (0.0000, 0.0000, 0.0000)
La (0.2500, 0.2500, 0.2500)



*B*
This record from Alexandria describes crystalline La2CdO at its relaxed geometry. The functional is PBE-GGA.

Lattice parameters (Å, degrees): 3.8080 3.8080 8.3389 76.80 76.80 60.00
Fractional positions:
La (0.2765, 0.2765, 0.1704)
Cd (0.5000, 0.5000, 0.5000)
La (0.7235, 0.7235, 0.8296)
O (0.0000, 0.0000, 0.0000)



Which of them is the most stable? Correct choice: *B*.